A plane-wave DFT calculation with PBE-GGA was carried out for a relaxed MgCuTcSnOsC crystal.

a b c (Å): 4.978 4.068 10.114
angles (deg): 90.00 92.46 90.00
Fractional positions:
Cu  0.534  0.000  0.177
Cu  0.534  0.500  0.677
C  0.467  0.000  0.674
C  0.467  0.500  0.174
Tc  0.509  0.500  0.984
Tc  0.509  0.000  0.484
Os  0.372  0.500  0.355
Os  0.372  0.000  0.855
Sn  0.984  0.000  0.363
Sn  0.984  0.500  0.863
Mg  0.984  0.500  0.147
Mg  0.984  0.000  0.647

Summary:
**DOS(E_F)**: 4.8 states/eV/cell
**E above lowest polymorph**: 44 meV per atom
**Energy of formation**: 1.6 eV/f.u.

***

A plane-wave DFT calculation with PBE-GGA was carried out for a relaxed AlCdF2 crystal.

a b c (Å): 4.473 4.473 4.473
angles (deg): 60.00 60.00 60.00
Fractional positions:
F  0.250  0.250  0.250
F  0.750  0.750  0.750
Cd  0.500  0.500  0.500
Al  0.000  0.000  0.000

Summary:
**DOS(E_F)**: 3.9 states/eV/cell
**E above lowest polymorph**: 668 meV per atom

***

A plane-wave DFT calculation with PBE-GGA was carried out for a relaxed Pm16Dy6Ho7 crystal.

a b c (Å): 11.254 11.254 11.254
angles (deg): 60.00 60.00 60.00
Fractional positions:
Dy  0.267  0.733  0.267
Dy  0.267  0.733  0.733
Dy  0.267  0.267  0.733
Dy  0.733  0.267  0.267
Dy  0.733  0.733  0.267
Dy  0.733  0.267  0.733
Pm  0.949  0.350  0.350
Pm  0.650  0.650  0.051
Pm  0.625  0.125  0.125
Pm  0.350  0.350  0.350
Pm  0.875  0.875  0.875
Pm  0.875  0.375  0.875
Pm  0.875  0.875  0.375
Pm  0.375  0.875  0.875
Pm  0.650  0.051  0.650
Pm  0.125  0.125  0.625
Pm  0.125  0.625  0.125
Pm  0.350  0.350  0.949
Pm  0.125  0.125  0.125
Pm  0.650  0.650  0.650
Pm  0.051  0.650  0.650
Pm  0.350  0.949  0.350
Ho  0.500  0.000  0.000
Ho  0.000  0.000  0.000
Ho  0.500  0.000  0.500
Ho  0.500  0.500  0.000
Ho  0.000  0.000  0.500
Ho  0.000  0.500  0.500
Ho  0.000  0.500  0.000

Summary:
**DOS(E_F)**: 41.4 states/eV/cell
**Energy of formation**: 6.2 eV/f.u.

***

A plane-wave DFT calculation with PBE-GGA was carried out for a relaxed Lu3Al crystal.

a b c (Å): 5.232 5.232 5.232
angles (deg): 60.00 60.00 60.00
Fractional positions:
Al  0.500  0.500  0.500
Lu  0.000  0.000  0.000
Lu  0.250  0.250  0.250
Lu  0.750  0.750  0.750

Summary:
**DOS(E_F)**: 3.8 states/eV/cell
**Energy of formation**: -0.2 eV/f.u.

***

A plane-wave DFT calculation with PBE-GGA was carried out for a relaxed NaSnSb2Te crystal.

a b c (Å): 5.370 5.370 5.643
angles (deg): 90.00 90.00 90.00
Fractional positions:
Sn  0.500  0.500  0.500
Te  0.000  0.000  0.500
Na  0.000  0.000  0.000
Sb  0.000  0.500  0.000
Sb  0.500  0.000  0.000

Summary:
**DOS(E_F)**: 5.7 states/eV/cell
**E above lowest polymorph**: 292 meV per atom

***

A plane-wave DFT calculation with PBE-GGA was carried out for a relaxed Zr2HgAu crystal.

a b c (Å): 5.049 3.105 5.281
angles (deg): 89.98 90.00 90.00
Fractional positions:
Zr  0.500  0.125  0.316
Zr  0.000  0.125  0.932
Au  0.000  0.625  0.444
Hg  0.500  0.625  0.808

Summary:
**DOS(E_F)**: 4.3 states/eV/cell
**Energy of formation**: -1.2 eV/f.u.